Er3Ni5O12 | PBE with a Hubbard U | optimized geometry

Cell and atoms, written as CIF:
```
data_Er3Ni5O12
_cell_length_a 10.6271
_cell_length_b 10.6271
_cell_length_c 10.6271
_cell_angle_alpha 109.47
_cell_angle_beta 109.47
_cell_angle_gamma 109.47
_space_group_name_H-M_alt 'P 1'
_space_group_IT_number 1
_space_group_name_Hall 'P 1'
loop_
_atom_site_label
_atom_site_type_symbol
_atom_site_fract_x
_atom_site_fract_y
_atom_site_fract_z
Er1 Er 0.1250 0.2500 0.3750
Er2 Er 0.1250 0.3750 0.7500
Er3 Er 0.2500 0.3750 0.1250
Er4 Er 0.2500 0.8750 0.6250
Er5 Er 0.3750 0.1250 0.2500
Er6 Er 0.3750 0.7500 0.1250
Er7 Er 0.6250 0.2500 0.8750
Er8 Er 0.6250 0.8750 0.7500
Er9 Er 0.7500 0.1250 0.3750
Er10 Er 0.7500 0.6250 0.8750
Er11 Er 0.8750 0.6250 0.2500
Er12 Er 0.8750 0.7500 0.6250
Ni1 Ni 0.0000 0.0000 0.0000
Ni2 Ni 0.0000 0.0000 0.5000
Ni3 Ni 0.0000 0.5000 0.0000
Ni4 Ni 0.0000 0.5000 0.5000
Ni5 Ni 0.1250 0.7500 0.8750
Ni6 Ni 0.1250 0.8750 0.2500
Ni7 Ni 0.2500 0.1250 0.8750
Ni8 Ni 0.2500 0.6250 0.3750
Ni9 Ni 0.3750 0.2500 0.6250
Ni10 Ni 0.3750 0.6250 0.7500
Ni11 Ni 0.5000 0.0000 0.0000
Ni12 Ni 0.5000 0.0000 0.5000
Ni13 Ni 0.5000 0.5000 0.0000
Ni14 Ni 0.5000 0.5000 0.5000
Ni15 Ni 0.6250 0.3750 0.2500
Ni16 Ni 0.6250 0.7500 0.3750
Ni17 Ni 0.7500 0.3750 0.6250
Ni18 Ni 0.7500 0.8750 0.1250
Ni19 Ni 0.8750 0.1250 0.7500
Ni20 Ni 0.8750 0.2500 0.1250
O1 O 0.0317 0.2100 0.1264
O2 O 0.0317 0.3217 0.9053
O3 O 0.0836 0.7100 0.6783
O4 O 0.0836 0.8736 0.4053
O5 O 0.0947 0.6264 0.4164
O6 O 0.0947 0.9683 0.6783
O7 O 0.1264 0.0317 0.2100
O8 O 0.1264 0.5947 0.9164
O9 O 0.1783 0.2100 0.5836
O10 O 0.1783 0.4683 0.5947
O11 O 0.2100 0.1264 0.0317
O12 O 0.2100 0.5836 0.1783
O13 O 0.2900 0.3217 0.9164
O14 O 0.2900 0.4683 0.3736
O15 O 0.3217 0.9053 0.0317
O16 O 0.3217 0.9164 0.2900
O17 O 0.3736 0.2900 0.4683
O18 O 0.3736 0.5836 0.9053
O19 O 0.4053 0.0836 0.8736
O20 O 0.4053 0.8217 0.5317
O21 O 0.4164 0.0947 0.6264
O22 O 0.4164 0.8217 0.7900
O23 O 0.4683 0.3736 0.2900
O24 O 0.4683 0.5947 0.1783
O25 O 0.5317 0.4053 0.8217
O26 O 0.5317 0.6264 0.7100
O27 O 0.5836 0.1783 0.2100
O28 O 0.5836 0.9053 0.3736
O29 O 0.5947 0.1783 0.4683
O30 O 0.5947 0.9164 0.1264
O31 O 0.6264 0.4164 0.0947
O32 O 0.6264 0.7100 0.5317
O33 O 0.6783 0.0836 0.7100
O34 O 0.6783 0.0947 0.9683
O35 O 0.7100 0.5317 0.6264
O36 O 0.7100 0.6783 0.0836
O37 O 0.7900 0.4164 0.8217
O38 O 0.7900 0.8736 0.9683
O39 O 0.8217 0.5317 0.4053
O40 O 0.8217 0.7900 0.4164
O41 O 0.8736 0.4053 0.0836
O42 O 0.8736 0.9683 0.7900
O43 O 0.9053 0.0317 0.3217
O44 O 0.9053 0.3736 0.5836
O45 O 0.9164 0.1264 0.5947
O46 O 0.9164 0.2900 0.3217
O47 O 0.9683 0.6783 0.0947
O48 O 0.9683 0.7900 0.8736
```

Properties
The space group is Ia-3d, No. 230. The electronic total energy is -6.043 eV/atom.